Record 1
Crystalline Ba2SrLa at its relaxed geometry, computed with PBE-GGA.

a b c (Å): 4.118 6.004 8.415
angles (deg): 90.00 90.00 90.00
Sites, in units of the cell vectors:
Ba 0.000 0.000 0.000
Ba 0.500 0.500 0.271
Sr 0.500 0.500 0.738
La 0.000 0.000 0.507

Output
Energy relative to the elements (eV/atom): 0.152
Spin magnetization (μB/f.u.): 0.0
N(E_F) (states/eV/f.u.): 7.67
ρ (g/cm³): 4.00
Final energy (eV per atom): -2.4613

Record 2
Crystalline BaCdAs2Pb at its relaxed geometry, computed with PBE-GGA.

a b c (Å): 8.770 8.770 9.346
angles (deg): 118.88 118.88 30.37
Sites, in units of the cell vectors:
Ba 0.235 0.235 0.248
Ba 0.765 0.765 0.752
Cd 0.071 0.071 0.439
Cd 0.929 0.929 0.561
As 0.128 0.128 0.776
As 0.375 0.375 0.651
As 0.625 0.625 0.349
As 0.872 0.872 0.224
Pb 0.434 0.434 0.113
Pb 0.566 0.566 0.887

Output
Energy relative to the elements (eV/atom): -0.522
Spin magnetization (μB/f.u.): 0.0
N(E_F) (states/eV/f.u.): 0.45
ρ (g/cm³): 6.40
Final energy (eV per atom): -3.6912

Record 3
Crystalline SbTeP2S at its relaxed geometry, computed with PBE-GGA.

a b c (Å): 5.139 5.139 4.805
angles (deg): 90.00 90.00 90.00
Sites, in units of the cell vectors:
Sb 0.000 0.000 0.000
Te 0.500 0.500 0.500
P 0.000 0.500 0.000
P 0.500 0.000 0.000
S 0.000 0.000 0.500

Output
Spin magnetization (μB/f.u.): 0.0
N(E_F) (states/eV/f.u.): 4.62
ρ (g/cm³): 4.49
Final energy (eV per atom): -3.4960
Energy relative to the elements, uncorrected (eV/atom): 0.95